i) DFT (PBE) results for NiCSe3 after structural relaxation.

Lattice parameters (Å, degrees): 4.347 4.347 4.347 90.00 90.00 90.00
Each line ends with the local moment (μB).
Atoms (fractional coordinates):
Ni: 0.500 0.500 0.500  0.82
C: 0.000 0.000 0.000  0.00
Se: 0.000 0.500 0.000  0.11
Se: 0.000 0.000 0.500  0.09
Se: 0.500 0.000 0.000  0.04

Summary:
calculated density: 6218 kg/m3

ii) DFT (PBE) results for NiCSe3 after structural relaxation.

Lattice parameters (Å, degrees): 4.643 4.643 4.643 90.00 90.00 90.00
Each line ends with the local moment (μB).
Atoms (fractional coordinates):
Ni: 0.000 0.000 0.000  -0.17
C: 0.500 0.500 0.500  0.52
Se: 0.000 0.500 0.000  -0.14
Se: 0.000 0.000 0.500  -0.17
Se: 0.500 0.000 0.000  -0.19

Summary:
calculated density: 5103 kg/m3

Unit: kJ/mol of atoms. Relative energies: i) 0.0; ii) 33.3.

i) DFT (PBE) results for Ni3CSe after structural relaxation.

Lattice parameters (Å, degrees): 4.301 4.301 4.301 90.00 90.00 90.00
Atoms (fractional coordinates):
Ni: 0.000 0.500 0.000
Ni: 0.000 0.000 0.500
Ni: 0.500 0.000 0.000
C: 0.500 0.500 0.500
Se: 0.000 0.000 0.000

Summary:
calculated density: 5575 kg/m3

ii) DFT (PBE) results for Ni3CSe after structural relaxation.

Lattice parameters (Å, degrees): 3.855 3.855 3.855 90.00 90.00 90.00
Atoms (fractional coordinates):
Ni: 0.000 0.500 0.000
Ni: 0.000 0.000 0.500
Ni: 0.500 0.000 0.000
C: 0.000 0.000 0.000
Se: 0.500 0.500 0.500

Summary:
calculated density: 7738 kg/m3

Unit: kJ/mol of atoms. Relative energies: i) 139.1; ii) 0.0.

i) DFT (PBE) results for SiNiC3 after structural relaxation.

Lattice parameters (Å, degrees): 3.774 3.774 3.774 90.00 90.00 90.00
Atoms (fractional coordinates):
Ni: 0.000 0.000 0.000
Si: 0.500 0.500 0.500
C: 0.000 0.500 0.000
C: 0.000 0.000 0.500
C: 0.500 0.000 0.000

Summary:
calculated density: 3795 kg/m3

ii) DFT (PBE) results for SiNiC3 after structural relaxation.

Lattice parameters (Å, degrees): 3.705 3.705 3.705 90.00 90.00 90.00
Atoms (fractional coordinates):
Ni: 0.500 0.500 0.500
Si: 0.000 0.000 0.000
C: 0.000 0.500 0.000
C: 0.000 0.000 0.500
C: 0.500 0.000 0.000

Summary:
calculated density: 4011 kg/m3

Unit: kJ/mol of atoms. Relative energies: i) 32.7; ii) 0.0.

i) DFT (PBE) results for Ni2SnC after structural relaxation.

Lattice parameters (Å, degrees): 4.552 4.552 6.543 69.64 69.64 90.00
Atoms (fractional coordinates):
Ni: 0.461 0.125 0.250
Ni: 0.289 0.625 0.250
Ni: 0.375 0.539 0.750
Ni: 0.875 0.711 0.750
C: 0.500 0.500 0.000
C: 0.250 0.750 0.500
Sn: 0.000 0.000 0.000
Sn: 0.750 0.250 0.500

Summary:
calculated density: 6980 kg/m3

ii) DFT (PBE) results for Ni2SnC after structural relaxation.

Lattice parameters (Å, degrees): 4.148 4.148 4.148 60.00 60.00 60.00
Atoms (fractional coordinates):
Ni: 0.250 0.250 0.250
Ni: 0.750 0.750 0.750
C: 0.000 0.000 0.000
Sn: 0.500 0.500 0.500

Summary:
calculated density: 8165 kg/m3

Unit: kJ/mol of atoms. Relative energies: i) 0.0; ii) 67.1.

i) DFT (PBE) results for NiSn3C after structural relaxation.

Lattice parameters (Å, degrees): 4.877 4.877 4.877 90.00 90.00 90.00
Each line ends with the local moment (μB).
Atoms (fractional coordinates):
Ni: 0.000 0.000 0.000  -0.11
C: 0.500 0.500 0.500  0.60
Sn: 0.000 0.500 0.000  -0.03
Sn: 0.000 0.000 0.500  -0.04
Sn: 0.500 0.000 0.000  -0.04

Summary:
calculated density: 6110 kg/m3

ii) DFT (PBE) results for NiSn3C after structural relaxation.

Lattice parameters (Å, degrees): 4.662 4.662 4.662 90.00 90.00 90.00
Atoms (fractional coordinates):
Ni: 0.500 0.500 0.500
C: 0.000 0.000 0.000
Sn: 0.000 0.500 0.000
Sn: 0.000 0.000 0.500
Sn: 0.500 0.000 0.000

Summary:
calculated density: 6993 kg/m3

Unit: kJ/mol of atoms. Relative energies: i) 19.9; ii) 0.0.

i) DFT (PBE) results for NiSnC3 after structural relaxation.

Lattice parameters (Å, degrees): 4.242 4.242 4.242 90.00 90.00 90.00
Atoms (fractional coordinates):
Ni: 0.500 0.500 0.500
C: 0.000 0.500 0.000
C: 0.000 0.000 0.500
C: 0.500 0.000 0.000
Sn: 0.000 0.000 0.000

Summary:
calculated density: 4644 kg/m3

ii) DFT (PBE) results for NiSnC3 after structural relaxation.

Lattice parameters (Å, degrees): 3.885 3.885 3.885 90.00 90.00 90.00
Atoms (fractional coordinates):
Ni: 0.000 0.000 0.000
C: 0.000 0.500 0.000
C: 0.000 0.000 0.500
C: 0.500 0.000 0.000
Sn: 0.500 0.500 0.500

Summary:
calculated density: 6046 kg/m3

Unit: kJ/mol of atoms. Relative energies: i) 99.4; ii) 0.0.

i) DFT (PBE) results for SrNi2C2 after structural relaxation.

Lattice parameters (Å, degrees): 3.751 5.489 7.166 90.00 90.00 109.98
Atoms (fractional coordinates):
Sr: 0.054 0.109 0.750
Sr: 0.946 0.891 0.250
Ni: 0.313 0.626 0.932
Ni: 0.687 0.374 0.432
Ni: 0.687 0.374 0.068
Ni: 0.313 0.626 0.568
C: 0.203 0.407 0.347
C: 0.797 0.593 0.847
C: 0.203 0.407 0.153
C: 0.797 0.593 0.653

Summary:
calculated density: 5485 kg/m3

ii) DFT (PBE) results for SrNi2C2 after structural relaxation.

Lattice parameters (Å, degrees): 3.472 3.472 5.898 72.92 72.92 90.00
Atoms (fractional coordinates):
Sr: 0.000 0.000 0.000
Ni: 0.250 0.750 0.500
Ni: 0.750 0.250 0.500
C: 0.663 0.663 0.674
C: 0.337 0.337 0.326

Summary:
calculated density: 5878 kg/m3

Unit: kJ/mol of atoms. Relative energies: i) 0.0; ii) 13.1.

i) DFT (PBE) results for Sr2NiC2 after structural relaxation.

Lattice parameters (Å, degrees): 7.354 7.354 3.529 90.00 90.00 90.00
Atoms (fractional coordinates):
Sr: 0.222 0.722 0.500
Sr: 0.722 0.778 0.500
Sr: 0.778 0.278 0.500
Sr: 0.278 0.222 0.500
C: 0.439 0.939 0.000
C: 0.939 0.561 0.000
C: 0.561 0.061 0.000
C: 0.061 0.439 0.000
Ni: 0.000 0.000 0.000
Ni: 0.500 0.500 0.000

Summary:
calculated density: 4489 kg/m3

ii) DFT (PBE) results for Sr2NiC2 after structural relaxation.

Lattice parameters (Å, degrees): 6.378 6.791 5.195 112.46 90.00 118.01
Atoms (fractional coordinates):
Sr: 0.472 0.294 0.147
Sr: 0.178 0.706 0.353
Sr: 0.528 0.706 0.853
Sr: 0.822 0.294 0.647
Ni: 0.000 0.000 0.250
Ni: 0.000 0.000 0.750
C: 0.737 0.817 0.409
C: 0.920 0.183 0.091
C: 0.263 0.183 0.591
C: 0.080 0.817 0.909

Summary:
calculated density: 4783 kg/m3

iii) DFT (PBE) results for Sr2NiC2 after structural relaxation.

Lattice parameters (Å, degrees): 7.774 7.774 3.136 90.00 90.00 90.00
Each line ends with the local moment (μB).
Atoms (fractional coordinates):
Sr: 0.351 0.851 0.000  0.05
Sr: 0.851 0.649 0.000  0.05
Sr: 0.649 0.149 0.000  0.05
Sr: 0.149 0.351 0.000  0.05
C: 0.154 0.654 0.500  0.42
C: 0.654 0.846 0.500  0.43
C: 0.846 0.346 0.500  0.42
C: 0.346 0.154 0.500  0.43
Ni: 0.000 0.000 0.000  0.70
Ni: 0.500 0.500 0.000  0.70

Summary:
calculated density: 4520 kg/m3

Unit: kJ/mol of atoms. Relative energies: i) 0.0; ii) 33.8; iii) 136.6.